Entry 1:
Compound: La2AlInO6
Source: the Alexandria database
Functional: PBE
Structure: relaxed Values from VASP.

Results
Space group   P2_1/c, No. 14
ΔE_f (raw)   -2875 meV per atom

The structure in Quantum ESPRESSO input format:
```
&SYSTEM
  ibrav = 0, nat = 20, ntyp = 4
/
ATOMIC_SPECIES
La 138.91 La.upf
Al 26.98 Al.upf
In 114.82 In.upf
O 16.00 O.upf
CELL_PARAMETERS angstrom
5.622 0.000 0.000
0.000 5.703 0.000
-5.561 0.000 8.007
ATOMIC_POSITIONS crystal
La 0.239 0.040 0.250
La 0.239 0.460 0.750
La 0.761 0.540 0.250
La 0.761 0.960 0.750
Al 0.000 0.000 0.500
Al 0.000 0.500 0.000
In 0.500 0.000 0.000
In 0.500 0.500 0.500
O 0.143 0.223 0.950
O 0.143 0.277 0.450
O 0.228 0.695 0.953
O 0.228 0.805 0.453
O 0.324 0.026 0.734
O 0.324 0.474 0.234
O 0.676 0.526 0.766
O 0.676 0.974 0.266
O 0.772 0.195 0.547
O 0.772 0.305 0.047
O 0.857 0.723 0.550
O 0.857 0.777 0.050
```

=====

Entry 2:
Compound: Li2BiF
Source: the Alexandria database
Functional: PBE
Structure: relaxed Values from VASP.

Results
Space group   I-42d, No. 122
ΔE_f (raw)   -1506 meV per atom
Excess energy over the best structure of this formula in the dataset   0.010 eV per atom

The structure in Quantum ESPRESSO input format:
```
&SYSTEM
  ibrav = 0, nat = 16, ntyp = 3
/
ATOMIC_SPECIES
Li 6.94 Li.upf
Bi 208.98 Bi.upf
F 19.00 F.upf
CELL_PARAMETERS angstrom
5.992 0.000 0.000
0.000 5.992 0.000
0.000 0.000 8.288
ATOMIC_POSITIONS crystal
Li 0.064 0.250 0.125
Li 0.250 0.564 0.375
Li 0.250 0.936 0.875
Li 0.436 0.250 0.625
Li 0.564 0.750 0.625
Li 0.750 0.064 0.875
Li 0.750 0.436 0.375
Li 0.936 0.750 0.125
Bi 0.000 0.000 0.500
Bi 0.000 0.500 0.750
Bi 0.500 0.000 0.250
Bi 0.500 0.500 0.000
F 0.000 0.000 0.000
F 0.000 0.500 0.250
F 0.500 0.000 0.750
F 0.500 0.500 0.500
```

=====

Entry 3:
Compound: La3TlAu
Source: the Alexandria database
Functional: PBE
Structure: relaxed Values from VASP.

Results
Space group   Pm-3m, No. 221
Excess energy over the best structure of this formula in the dataset   0.000 eV per atom
Formation energy from the elements   -0.44 eV per atom

The structure in Quantum ESPRESSO input format:
```
&SYSTEM
  ibrav = 0, nat = 15, ntyp = 3
/
ATOMIC_SPECIES
La 138.91 La.upf
Tl 204.38 Tl.upf
Au 196.97 Au.upf
CELL_PARAMETERS angstrom
7.718 0.000 0.000
0.000 7.718 0.000
0.000 0.000 7.718
ATOMIC_POSITIONS crystal
La 0.000 0.000 0.000
La 0.269 0.269 0.269
La 0.269 0.269 0.731
La 0.269 0.731 0.269
La 0.269 0.731 0.731
La 0.731 0.269 0.269
La 0.731 0.269 0.731
La 0.731 0.731 0.269
La 0.731 0.731 0.731
Tl 0.000 0.000 0.500
Tl 0.000 0.500 0.000
Tl 0.500 0.000 0.000
Au 0.000 0.500 0.500
Au 0.500 0.000 0.500
Au 0.500 0.500 0.000
```